Run A
# Li2Mn3SnO8 | Alexandria via LeMat-Bulk | PBEsol | relaxed
data_Li2Mn3SnO8
_cell_length_a 5.7634
_cell_length_b 5.7634
_cell_length_c 14.7858
_cell_angle_alpha 90.00
_cell_angle_beta 90.00
_cell_angle_gamma 120.00
_symmetry_space_group_name_H-M 'R 3 m'
_symmetry_Int_Tables_number 160
_symmetry_space_group_name_Hall 'R 3 -2"'
loop_
_atom_site_label
_atom_site_type_symbol
_atom_site_fract_x
_atom_site_fract_y
_atom_site_fract_z
Li1 Li 0.0000 0.0000 0.0000
Li2 Li 0.0000 0.0000 0.3799
Mn1 Mn 0.1732 0.3464 0.8290
Sn1 Sn 0.0000 0.0000 0.6203
O1 O 0.0000 0.0000 0.2357
O2 O 0.0000 0.0000 0.7619
O3 O 0.0268 0.5134 0.7605
O4 O 0.1849 0.3698 0.5696
# Mass density: 4.98 g/cm3
# N(E_F): 0.377 states/eV per atom

---

Run B
# Li2Mn3SnO8 | Alexandria via LeMat-Bulk | PBEsol | relaxed
data_Li2Mn3SnO8
_cell_length_a 8.256
_cell_length_b 8.256
_cell_length_c 8.256
_cell_angle_alpha 90.00
_cell_angle_beta 90.00
_cell_angle_gamma 90.00
_symmetry_space_group_name_H-M 'P 43 3 2'
_symmetry_Int_Tables_number 212
_symmetry_space_group_name_Hall 'P 4acd 2ab 3'
loop_
_atom_site_label
_atom_site_type_symbol
_atom_site_fract_x
_atom_site_fract_y
_atom_site_fract_z
Li1 Li 0.004 0.004 0.004
Mn1 Mn 0.109 0.141 0.625
Sn1 Sn 0.125 0.875 0.375
O1 O 0.096 0.127 0.392
O2 O 0.121 0.621 0.879
# Mass density: 5.02 g/cm3
# N(E_F): 0.277 states/eV per atom

---

Which of them is most stable? Easy: run B.

---

Run A
# Li2TiMn3O8 | Alexandria via LeMat-Bulk | PBEsol | relaxed
data_Li2TiMn3O8
_cell_length_a 5.650
_cell_length_b 8.710
_cell_length_c 10.208
_cell_angle_alpha 65.22
_cell_angle_beta 74.69
_cell_angle_gamma 89.97
_symmetry_space_group_name_H-M 'P -1'
_symmetry_Int_Tables_number 2
_symmetry_space_group_name_Hall '-P 1'
loop_
_atom_site_label
_atom_site_type_symbol
_atom_site_fract_x
_atom_site_fract_y
_atom_site_fract_z
Li1 Li 0.000 0.000 0.000
Li2 Li 0.000 0.500 0.500
Li3 Li 0.172 0.170 0.164
Li4 Li 0.360 0.333 0.334
Ti1 Ti 0.166 0.164 0.668
Ti2 Ti 0.500 0.500 0.000
Mn1 Mn 0.000 0.000 0.500
Mn2 Mn 0.000 0.500 0.000
Mn3 Mn 0.164 0.668 0.162
Mn4 Mn 0.327 0.832 0.333
Mn5 Mn 0.340 0.337 0.829
Mn6 Mn 0.500 0.000 0.500
O1 O 0.008 0.745 0.477
O2 O 0.028 0.254 0.976
O3 O 0.147 0.924 0.187
O4 O 0.152 0.385 0.689
O5 O 0.178 0.947 0.645
O6 O 0.179 0.419 0.144
O7 O 0.317 0.080 0.357
O8 O 0.320 0.548 0.848
O9 O 0.338 0.587 0.309
O10 O 0.357 0.127 0.813
O11 O 0.486 0.719 0.020
O12 O 0.498 0.209 0.520
# Mass density: 4.05 g/cm3
# N(E_F): 0.049 states/eV per atom

---

Run B
# Li2TiMn3O8 | Alexandria via LeMat-Bulk | PBEsol | relaxed
data_Li2TiMn3O8
_cell_length_a 5.7139
_cell_length_b 5.7139
_cell_length_c 14.1578
_cell_angle_alpha 90.00
_cell_angle_beta 90.00
_cell_angle_gamma 120.00
_symmetry_space_group_name_H-M 'R -3 m'
_symmetry_Int_Tables_number 166
_symmetry_space_group_name_Hall '-R 3 2"'
loop_
_atom_site_label
_atom_site_type_symbol
_atom_site_fract_x
_atom_site_fract_y
_atom_site_fract_z
Li1 Li 0.0000 0.0000 0.1240
Ti1 Ti 0.0000 0.0000 0.5000
Mn1 Mn 0.0000 0.5000 0.0000
O1 O 0.0000 0.0000 0.2635
O2 O 0.0283 0.5141 0.2561
# Mass density: 4.41 g/cm3
# N(E_F): 0.245 states/eV per atom

---

Which of them is most stable? Easy: run B.

---

Run A
# Li2MnV3O8 | Alexandria via LeMat-Bulk | PBEsol | relaxed
data_Li2MnV3O8
_cell_length_a 5.7161
_cell_length_b 5.7161
_cell_length_c 14.6271
_cell_angle_alpha 90.00
_cell_angle_beta 90.00
_cell_angle_gamma 120.00
_symmetry_space_group_name_H-M 'R 3 m'
_symmetry_Int_Tables_number 160
_symmetry_space_group_name_Hall 'R 3 -2"'
loop_
_atom_site_label
_atom_site_type_symbol
_atom_site_fract_x
_atom_site_fract_y
_atom_site_fract_z
Li1 Li 0.0000 0.0000 0.0000
Li2 Li 0.0000 0.0000 0.3829
Mn1 Mn 0.0000 0.0000 0.6292
V1 V 0.1772 0.3544 0.8358
O1 O 0.0000 0.0000 0.2501
O2 O 0.0000 0.0000 0.7649
O3 O 0.0245 0.5122 0.7622
O4 O 0.1779 0.3557 0.5727
# Mass density: 4.21 g/cm3
# N(E_F): 0.046 states/eV per atom

---

Run B
# Li2MnV3O8 | Alexandria via LeMat-Bulk | PBEsol | relaxed
data_Li2MnV3O8
_cell_length_a 8.152
_cell_length_b 8.152
_cell_length_c 8.152
_cell_angle_alpha 90.00
_cell_angle_beta 90.00
_cell_angle_gamma 90.00
_symmetry_space_group_name_H-M 'P 21 3'
_symmetry_Int_Tables_number 198
_symmetry_space_group_name_Hall 'P 2ac 2ab 3'
loop_
_atom_site_label
_atom_site_type_symbol
_atom_site_fract_x
_atom_site_fract_y
_atom_site_fract_z
Li1 Li 0.005 0.005 0.005
Li2 Li 0.242 0.242 0.242
Mn1 Mn 0.129 0.871 0.371
V1 V 0.115 0.127 0.621
O1 O 0.110 0.384 0.111
O2 O 0.124 0.624 0.876
O3 O 0.133 0.367 0.633
O4 O 0.136 0.141 0.861
# Mass density: 4.29 g/cm3
# N(E_F): 0.601 states/eV per atom

---

Which of them is most stable? Easy: run B.